Record 1
## BaTePdO (PBE-GGA)

Data for a geometry-optimized BaTePdO structure.

The total energy is -37.1 eV/cell.

Cell lengths 4.418, 4.418, 9.421 Å; angles 90.00, 90.00, 90.00 degrees
Positions (direct):
Ba1 0.250 0.250 0.226
Ba2 0.750 0.750 0.774
Te1 0.250 0.250 0.620
Te2 0.750 0.750 0.380
Pd1 0.250 0.250 0.911
Pd2 0.750 0.750 0.089
O1 0.250 0.750 0.000
O2 0.750 0.250 0.000



Record 2
## BaTePdO (PBE-GGA)

Data for a geometry-optimized BaTePdO structure.

The total energy is -80.9 eV/cell.

Cell lengths 7.200, 8.602, 6.423 Å; angles 90.00, 90.00, 90.00 degrees
Positions (direct):
Ba1 0.072 0.148 0.000
Ba2 0.428 0.148 0.500
Ba3 0.572 0.852 0.000
Ba4 0.928 0.852 0.500
Te1 0.180 0.520 0.710
Te2 0.320 0.520 0.210
Te3 0.680 0.480 0.710
Te4 0.820 0.480 0.210
Pd1 0.062 0.688 0.026
Pd2 0.438 0.688 0.526
Pd3 0.562 0.312 0.026
Pd4 0.938 0.312 0.526
O1 0.085 0.105 0.597
O2 0.415 0.105 0.097
O3 0.585 0.895 0.597
O4 0.915 0.895 0.097



Record 3
## BaTePdO (PBE-GGA)

Data for a geometry-optimized BaTePdO structure.

The total energy is -161.2 eV/cell.

Cell lengths 6.443, 7.128, 15.865 Å; angles 90.00, 90.00, 90.00 degrees
Positions (direct):
Ba1 0.238 0.127 0.192
Ba2 0.238 0.373 0.692
Ba3 0.262 0.627 0.192
Ba4 0.262 0.873 0.692
Ba5 0.738 0.127 0.308
Ba6 0.738 0.373 0.808
Ba7 0.762 0.627 0.308
Ba8 0.762 0.873 0.808
Te1 0.204 0.508 0.923
Te2 0.204 0.992 0.423
Te3 0.296 0.008 0.923
Te4 0.296 0.492 0.423
Te5 0.704 0.508 0.577
Te6 0.704 0.992 0.077
Te7 0.796 0.008 0.577
Te8 0.796 0.492 0.077
Pd1 0.002 0.708 0.499
Pd2 0.002 0.792 0.999
Pd3 0.498 0.208 0.499
Pd4 0.498 0.292 0.999
Pd5 0.502 0.708 0.001
Pd6 0.502 0.792 0.501
Pd7 0.998 0.208 0.001
Pd8 0.998 0.292 0.501
O1 0.057 0.121 0.780
O2 0.057 0.379 0.280
O3 0.443 0.621 0.780
O4 0.443 0.879 0.280
O5 0.557 0.121 0.720
O6 0.557 0.379 0.220
O7 0.943 0.621 0.720
O8 0.943 0.879 0.220



Record 4
## BaTePdO (PBE-GGA)

Data for a geometry-optimized BaTePdO structure.

The total energy is -154.9 eV/cell.

Cell lengths 7.977, 11.274, 9.599 Å; angles 90.00, 90.00, 90.00 degrees
Positions (direct):
Ba1 0.247 0.146 0.011
Ba2 0.247 0.354 0.511
Ba3 0.253 0.646 0.011
Ba4 0.253 0.854 0.511
Ba5 0.747 0.146 0.489
Ba6 0.747 0.354 0.989
Ba7 0.753 0.646 0.489
Ba8 0.753 0.854 0.989
Te1 0.002 0.508 0.752
Te2 0.002 0.992 0.252
Te3 0.498 0.008 0.752
Te4 0.498 0.492 0.252
Te5 0.502 0.508 0.748
Te6 0.502 0.992 0.248
Te7 0.998 0.008 0.748
Te8 0.998 0.492 0.248
Pd1 0.003 0.741 0.750
Pd2 0.003 0.759 0.250
Pd3 0.497 0.241 0.750
Pd4 0.497 0.259 0.250
Pd5 0.503 0.741 0.750
Pd6 0.503 0.759 0.250
Pd7 0.997 0.241 0.750
Pd8 0.997 0.259 0.250
O1 0.246 0.227 0.281
O2 0.246 0.273 0.781
O3 0.254 0.727 0.281
O4 0.254 0.773 0.781
O5 0.746 0.227 0.219
O6 0.746 0.273 0.719
O7 0.754 0.727 0.219
O8 0.754 0.773 0.719



Record 5
## BaTePdO (PBE-GGA)

Data for a geometry-optimized BaTePdO structure.

The total energy is -79.5 eV/cell.

Cell lengths 6.481, 7.258, 8.072 Å; angles 90.00, 90.00, 90.00 degrees
Positions (direct):
Ba1 0.136 0.086 0.421
Ba2 0.364 0.914 0.921
Ba3 0.636 0.414 0.579
Ba4 0.864 0.586 0.079
Te1 0.064 0.684 0.649
Te2 0.436 0.316 0.149
Te3 0.564 0.816 0.351
Te4 0.936 0.184 0.851
Pd1 0.236 0.576 0.374
Pd2 0.264 0.424 0.874
Pd3 0.736 0.924 0.626
Pd4 0.764 0.076 0.126
O1 0.022 0.911 0.138
O2 0.478 0.089 0.638
O3 0.522 0.589 0.862
O4 0.978 0.411 0.362



Record 6
## BaTePdO (PBE-GGA)

Data for a geometry-optimized BaTePdO structure.

The total energy is -76.4 eV/cell.

Cell lengths 6.587, 9.280, 6.764 Å; angles 90.00, 90.00, 90.00 degrees
Positions (direct):
Ba1 0.007 0.206 0.000
Ba2 0.493 0.206 0.500
Ba3 0.507 0.794 0.000
Ba4 0.993 0.794 0.500
Te1 0.007 0.582 0.993
Te2 0.493 0.582 0.493
Te3 0.507 0.418 0.993
Te4 0.993 0.418 0.493
Pd1 0.008 0.853 0.008
Pd2 0.492 0.853 0.508
Pd3 0.508 0.147 0.008
Pd4 0.992 0.147 0.508
O1 0.242 0.000 0.516
O2 0.258 0.000 0.016
O3 0.742 0.000 0.516
O4 0.758 0.000 0.016



Record 7
## BaTePdO (PBE-GGA)

Data for a geometry-optimized BaTePdO structure.

The total energy is -39.0 eV/cell.

Cell lengths 6.815, 6.815, 8.006 Å; angles 90.00, 90.00, 148.13 degrees
Positions (direct):
Ba1 0.062 0.938 0.500
Ba2 0.938 0.062 0.000
Te1 0.306 0.694 0.320
Te2 0.694 0.306 0.820
Pd1 0.314 0.686 0.706
Pd2 0.686 0.314 0.206
O1 0.088 0.912 0.187
O2 0.912 0.088 0.687



Record 8
## BaTePdO (PBE-GGA)

Data for a geometry-optimized BaTePdO structure.

The total energy is -39.9 eV/cell.

Cell lengths 4.434, 4.434, 9.650 Å; angles 90.00, 90.00, 90.00 degrees
Positions (direct):
Ba1 0.250 0.250 0.143
Ba2 0.750 0.750 0.857
Te1 0.250 0.750 0.500
Te2 0.750 0.250 0.500
Pd1 0.250 0.250 0.665
Pd2 0.750 0.750 0.335
O1 0.250 0.250 0.889
O2 0.750 0.750 0.111



Record 9
## BaTePdO (PBE-GGA)

Data for a geometry-optimized BaTePdO structure.

The total energy is -39.7 eV/cell.

Cell lengths 6.907, 6.907, 6.569 Å; angles 90.00, 90.00, 141.64 degrees
Positions (direct):
Ba1 0.180 0.820 0.500
Ba2 0.820 0.180 0.000
Te1 0.091 0.909 0.002
Te2 0.909 0.091 0.502
Pd1 0.499 0.501 0.265
Pd2 0.501 0.499 0.765
O1 0.403 0.597 0.015
O2 0.597 0.403 0.515



Record 10
## BaTePdO (PBE-GGA)

Data for a geometry-optimized BaTePdO structure.

The total energy is -80.5 eV/cell.

Cell lengths 5.709, 8.040, 8.272 Å; angles 90.00, 90.00, 90.00 degrees
Positions (direct):
Ba1 0.001 0.147 0.360
Ba2 0.499 0.853 0.860
Ba3 0.501 0.353 0.640
Ba4 0.999 0.647 0.140
Te1 0.001 0.587 0.711
Te2 0.499 0.413 0.211
Te3 0.501 0.913 0.289
Te4 0.999 0.087 0.789
Pd1 0.240 0.755 0.499
Pd2 0.260 0.245 0.999
Pd3 0.740 0.745 0.501
Pd4 0.760 0.255 0.001
O1 0.005 0.354 0.601
O2 0.495 0.646 0.101
O3 0.505 0.146 0.399
O4 0.995 0.854 0.899



Record 11
## Ba2TlPdO6 (PBE-GGA)

Data for a geometry-optimized Ba2TlPdO6 structure.

The total energy is -106.2 eV/cell.

Cell lengths 6.242, 7.407, 7.067 Å; angles 90.00, 91.84, 90.00 degrees
Positions (direct):
Ba1 0.235 0.000 0.303
Ba2 0.258 0.193 0.827
Ba3 0.742 0.693 0.173
Ba4 0.765 0.500 0.697
Tl1 0.245 0.472 0.368
Tl2 0.755 0.972 0.632
Pd1 0.259 0.750 0.684
Pd2 0.741 0.250 0.316
O1 0.008 0.735 0.484
O2 0.022 0.425 0.055
O3 0.046 0.744 0.895
O4 0.460 0.916 0.019
O5 0.484 0.738 0.477
O6 0.489 0.304 0.140
O7 0.511 0.804 0.860
O8 0.516 0.238 0.523
O9 0.540 0.416 0.981
O10 0.954 0.244 0.105
O11 0.978 0.925 0.945
O12 0.992 0.235 0.516



Record 12
## BaPr2PtO5 (PBE-GGA)

Data for a geometry-optimized BaPr2PtO5 structure.

The total energy is -130.7 eV/cell.

Cell lengths 6.813, 6.813, 5.950 Å; angles 90.00, 90.00, 90.00 degrees
Positions (direct):
Ba1 0.000 0.000 0.000
Ba2 0.500 0.500 0.000
Pr1 0.174 0.326 0.500
Pr2 0.326 0.826 0.500
Pr3 0.674 0.174 0.500
Pr4 0.826 0.674 0.500
Pt1 0.000 0.500 0.000
Pt2 0.500 0.000 0.000
O1 0.000 0.000 0.500
O2 0.141 0.641 0.251
O3 0.141 0.641 0.749
O4 0.359 0.141 0.251
O5 0.359 0.141 0.749
O6 0.500 0.500 0.500
O7 0.641 0.859 0.251
O8 0.641 0.859 0.749
O9 0.859 0.359 0.251
O10 0.859 0.359 0.749



Copy entry 1 word for word.
## BaTePdO (PBE-GGA)

Data for a geometry-optimized BaTePdO structure.

The total energy is -37.1 eV/cell.

Cell lengths 4.418, 4.418, 9.421 Å; angles 90.00, 90.00, 90.00 degrees
Positions (direct):
Ba1 0.250 0.250 0.226
Ba2 0.750 0.750 0.774
Te1 0.250 0.250 0.620
Te2 0.750 0.750 0.380
Pd1 0.250 0.250 0.911
Pd2 0.750 0.750 0.089
O1 0.250 0.750 0.000
O2 0.750 0.250 0.000